(1)
# ZnCdMo2

A geometry-optimized ZnCdMo2 structure (PBE-GGA, Alexandria via LeMat-Bulk).

Cell and atoms, written as POSCAR:
```
ZnCdMo2
1.0
-3.357 0.981 -1.387
0.593 -2.203 -2.993
-5.650 -8.352 2.662
Mo Cd Zn
4 2 2
direct
0.875 0.854 0.750
0.604 0.125 0.250
0.146 0.625 0.250
0.375 0.396 0.750
0.000 0.000 0.000
0.750 0.250 0.500
0.250 0.750 0.500
0.500 0.500 0.000
```

Output
DFT formation energy: 677 meV per atom
Final energy: -5.2860 eV per atom

***

(2)
# ZnCd2Mo

A geometry-optimized ZnCd2Mo structure (PBE-GGA, Alexandria via LeMat-Bulk).

Cell and atoms, written as POSCAR:
```
ZnCd2Mo
1.0
5.379 0.014 0.000
2.450 4.789 0.000
-3.915 -2.402 2.801
Cd Zn Mo
2 1 1
direct
0.000 0.000 0.000
0.500 0.500 0.000
0.750 0.250 0.500
0.250 0.750 0.500
```

Output
DFT formation energy: 436 meV per atom
Final energy: -3.0476 eV per atom

***

(3)
# Zn2CdMo

A geometry-optimized Zn2CdMo structure (PBE-GGA, Alexandria via LeMat-Bulk).

Cell and atoms, written as POSCAR:
```
Zn2CdMo
1.0
4.853 0.001 0.000
1.391 4.649 0.000
-3.122 -2.325 2.898
Zn Mo Cd
2 1 1
direct
0.000 0.000 0.000
0.500 0.500 0.000
0.750 0.250 0.500
0.250 0.750 0.500
```

Output
DFT formation energy: 372 meV per atom
Final energy: -3.2018 eV per atom